! PBE SnIrF2, optimized geometry; values from VASP
&SYSTEM
  ibrav = 0, nat = 12, ntyp = 3
/
ATOMIC_SPECIES
Sn 118.71 Sn.upf
Ir 192.22 Ir.upf
F 19.00 F.upf
ATOMIC_POSITIONS crystal
Sn 0.000 0.000 0.000
Sn 0.333 0.667 0.667
Sn 0.667 0.333 0.333
Ir 0.000 0.000 0.500
Ir 0.333 0.667 0.167
Ir 0.667 0.333 0.833
F 0.000 0.000 0.417
F 0.000 0.000 0.583
F 0.333 0.667 0.083
F 0.333 0.667 0.250
F 0.667 0.333 0.750
F 0.667 0.333 0.917
CELL_PARAMETERS angstrom
2.937 0.000 0.000
-1.469 2.544 0.000
0.000 0.000 24.339
! VASP energy: -4.942 eV/atom
! symmetry: R-3m, No. 166
! density: 9.557 g/cm³
! ΔE_f (raw): -305 kJ/mol of formula units